Entry 1:
First-principles (PBE) data for a geometry-optimized TiPd4Pt2 structure, as listed in Alexandria.

extended XYZ file:
```
14
Lattice="-3.5058 3.6935 -0.5820 -2.3449 -2.7737 3.6166 6.8035 4.1776 4.5539" Properties=species:S:1:pos:R:3 pbc="T T T"
Pd 0.5577 4.1755 5.5380
Pd -1.6468 0.6432 4.6570
Pd -1.8532 4.4178 0.8164
Pd 2.0141 4.5464 3.2352
Pd -3.0157 3.0429 2.6403
Pd 4.4557 3.5232 4.6044
Pd 2.3006 2.3168 5.8134
Pd -1.1631 1.2064 1.7705
Pt 3.5125 6.4366 4.5861
Pt -2.3714 -1.3687 2.9048
Pt 0.5192 2.0727 3.7861
Pt 1.2024 -0.2384 5.8040
Ti -0.6352 4.2947 3.1707
Ti -3.7467 0.5891 1.9434
```

Computed properties:
* energy relative to the elements: -0.30 eV per atom
* volume: 15.88 Å³ per atom
* calculated total energy: -6.1202 eV/atom
* magnetization: 0.000 μB per atom
* calculated density: 12.9 g cm⁻³



Entry 2:
First-principles (PBE) data for a geometry-optimized TlRe2Bi structure, as listed in Alexandria.

extended XYZ file:
```
8
Lattice="4.2849 0.0000 0.0000 0.0000 4.2849 0.0000 2.1425 2.1425 10.0025" Properties=species:S:1:pos:R:3 pbc="T T T"
Tl 2.1425 4.2849 5.0012
Tl 2.1425 2.1425 0.0000
Re 5.3562 4.9336 7.5019
Re 1.4938 3.2137 2.5006
Re 2.7911 1.0712 2.5006
Re 3.2137 3.6363 7.5019
Bi 4.2849 2.1425 5.0012
Bi 0.0000 0.0000 0.0000
```

Computed properties:
* energy relative to the elements: 1.23 eV per atom
* volume: 22.96 Å³ per atom
* calculated total energy: -6.5538 eV/atom
* magnetization: 0.000 μB per atom
* E above lowest polymorph: 0.000 eV/atom
* calculated density: 14.2 g cm⁻³



Entry 3:
First-principles (PBE) data for a geometry-optimized Er4IrPd structure, as listed in Alexandria.

extended XYZ file:
```
24
Lattice="0.2683 8.2732 4.3442 7.5337 2.4247 4.9752 5.6896 6.7321 -3.1140" Properties=species:S:1:pos:R:3 pbc="T T T"
Er 9.8182 15.4724 3.9396
Er 9.7158 12.3159 2.2822
Er 5.2864 6.8295 2.4314
Er 7.6474 12.9039 5.1277
Er 5.4025 10.4093 4.3112
Er 7.4055 9.9534 6.9853
Er 6.0862 7.4766 -0.7799
Er 12.5902 13.2410 4.1804
Er 6.2538 12.6435 1.9332
Er 8.5463 7.8786 4.5843
Er 7.7483 9.7425 1.0840
Er 10.7913 8.9909 2.3274
Er 7.2379 4.7864 4.2722
Er 10.4194 10.6725 5.3685
Er 10.5218 13.8290 7.0259
Er 2.7004 8.4391 3.8781
Pd 4.8486 3.6720 2.7656
Pd 4.1945 5.1996 -0.1032
Pd 2.1767 2.8121 1.0012
Pd 2.2719 5.7462 2.5418
Ir 5.7647 7.7093 5.0786
Ir 8.1744 10.5605 3.7598
Ir 8.0607 7.0566 1.9199
Ir 4.9836 9.5336 1.6526
```

Computed properties:
* energy relative to the elements: -0.68 eV per atom
* volume: 24.07 Å³ per atom
* calculated total energy: -6.0679 eV/atom
* magnetization: 0.000 μB per atom
* E above lowest polymorph: 0.000 eV/atom
* calculated density: 11.1 g cm⁻³



Entry 4:
First-principles (PBE) data for a geometry-optimized PmMgTlBr6 structure, as listed in Alexandria.

extended XYZ file:
```
18
Lattice="7.2829 0.0000 0.0000 -3.6415 6.3072 0.0000 0.0000 0.0000 14.4930" Properties=species:S:1:pos:R:3 pbc="T T T"
Mg 0.0000 4.2048 3.6233
Mg 3.6415 2.1024 10.8698
Br 0.9355 6.1921 5.2222
Br 1.2533 2.4010 5.2222
Br 2.1888 4.0213 2.0243
Br 2.3882 3.9062 9.2708
Br 2.7060 0.1152 9.2708
Br 4.5770 0.1152 12.4687
Br 1.4527 2.2859 12.4687
Br 4.8947 3.9062 12.4687
Br 5.8302 2.2859 9.2708
Br -2.1888 4.0213 5.2222
Br -1.2533 2.4010 2.0243
Br -0.9355 6.1921 2.0243
Tl 0.0000 0.0000 7.2465
Tl 0.0000 0.0000 0.0000
Pm 0.0000 4.2048 10.8698
Pm 3.6415 2.1024 3.6233
```

Computed properties:
* volume: 36.99 Å³ per atom
* calculated total energy: -3.6039 eV/atom
* magnetization: 0.000 μB per atom
* calculated density: 4.3 g cm⁻³



Entry 5:
First-principles (PBE) data for a geometry-optimized LaYSc structure, as listed in Alexandria.

extended XYZ file:
```
3
Lattice="6.1307 0.0289 -0.0200 3.1388 5.2663 0.0200 -4.1845 -3.4359 2.8761" Properties=species:S:1:pos:R:3 pbc="T T T"
La 9.2255 5.2700 0.0000
Y 6.2459 3.5680 0.0000
Sc 3.0677 1.7524 0.0000
```

Computed properties:
* energy relative to the elements: 0.06 eV per atom
* volume: 30.93 Å³ per atom
* calculated total energy: -5.8481 eV/atom
* magnetization: 0.000 μB per atom
* E above lowest polymorph: 0.015 eV/atom
* calculated density: 4.9 g cm⁻³



Entry 6:
First-principles (PBE) data for a geometry-optimized AgB2SF structure, as listed in Alexandria.

extended XYZ file:
```
5
Lattice="-0.7580 3.2818 1.6773 -4.7226 -2.4581 2.6754 2.1655 -0.9891 2.9139" Properties=species:S:1:pos:R:3 pbc="T T T"
S -2.3613 -1.2290 1.3377
Ag -1.6575 -0.0827 3.6333
B -0.3790 1.6409 0.8387
B 1.0828 -0.4946 1.4569
F 0.0000 0.0000 0.0000
```

Computed properties:
* volume: 16.87 Å³ per atom
* calculated total energy: -2.9929 eV/atom
* magnetization: 0.000 μB per atom
* E above lowest polymorph: 0.513 eV/atom
* calculated density: 3.6 g cm⁻³



Entry 7:
First-principles (PBE) data for a geometry-optimized K3AgAu2I6 structure, as listed in Alexandria.

extended XYZ file:
```
12
Lattice="8.7664 0.0000 0.0000 -4.3832 7.5919 0.0000 0.0000 0.0000 9.1269" Properties=species:S:1:pos:R:3 pbc="T T T"
K 0.0000 0.0000 0.0000
K 0.0000 5.0613 5.8501
K 4.3832 2.5306 3.2767
I 4.3832 5.2383 6.5088
I 2.3449 6.4151 2.6181
I 2.0383 1.1768 6.5088
I 6.7281 1.1768 6.5088
I 0.0000 2.3536 2.6181
I -2.3449 6.4151 2.6181
Au 4.3832 2.5306 6.6047
Au 0.0000 5.0613 2.5222
Ag 0.0000 0.0000 4.5634
```

Computed properties:
* volume: 50.62 Å³ per atom
* calculated total energy: -2.4986 eV/atom
* magnetization: 0.000 μB per atom
* calculated density: 3.8 g cm⁻³



Entry 8:
First-principles (PBE) data for a geometry-optimized InCoNiAu structure, as listed in Alexandria.

extended XYZ file:
```
4
Lattice="-0.1866 -1.7710 -4.0097 3.5608 -1.8903 -1.7311 0.1547 -4.3580 -0.4827" Properties=species:S:1:pos:R:3 pbc="T T T"
In 2.6467 -6.0145 -4.6677
Co 1.7644 -4.0096 -3.1118
Ni 0.0000 0.0000 0.0000
Au 0.8822 -2.0048 -1.5559
```

Computed properties:
* energy relative to the elements: 0.08 eV per atom
* volume: 14.93 Å³ per atom
* calculated total energy: -4.6462 eV/atom
* magnetization: 0.195 μB per atom
* calculated density: 11.9 g cm⁻³